(1)
A relaxed structure of LaIr3F, computed with GGA-PBEsol.

## Properties
* E_form (uncorrected): 0.507 eV/atom

a = 4.388 Å, b = 4.388 Å, c = 4.388 Å
α = 90.00°, β = 90.00°, γ = 90.00°
Atoms (fractional coordinates):
Ir: 0.000 0.000 0.500
Ir: 0.500 0.000 0.000
Ir: 0.000 0.500 0.000
F: 0.000 0.000 0.000
La: 0.500 0.500 0.500

***

(2)
A relaxed structure of LaIrN2F, computed with GGA-PBEsol.

## Properties
* E_form (uncorrected): 1.019 eV/atom

a = 4.340 Å, b = 4.436 Å, c = 4.436 Å
α = 90.00°, β = 90.00°, γ = 90.00°
Last column: magnetic moment on the atom in μB.
Atoms (fractional coordinates):
F: 0.500 0.000 0.000  0.02
Ir: 0.500 0.500 0.500  1.84
La: 0.000 0.000 0.000  0.02
N: 0.000 0.000 0.500  0.07
N: 0.000 0.500 0.000  0.07

***

(3)
A relaxed structure of LaIrOsF2, computed with GGA-PBEsol.

## Properties
* E_form (uncorrected): -0.667 eV/atom

a = 4.223 Å, b = 4.223 Å, c = 4.882 Å
α = 90.00°, β = 90.00°, γ = 90.00°
Atoms (fractional coordinates):
Ir: 0.000 0.000 0.500
F: 0.000 0.500 0.000
F: 0.500 0.000 0.000
Os: 0.000 0.000 0.000
La: 0.500 0.500 0.500

***

(4)
A relaxed structure of LaIrPt2F, computed with GGA-PBEsol.

## Properties
* E_form (uncorrected): 0.481 eV/atom

a = 4.187 Å, b = 5.148 Å, c = 5.148 Å
α = 90.00°, β = 90.00°, γ = 90.00°
Last column: magnetic moment on the atom in μB.
Atoms (fractional coordinates):
F: 0.500 0.000 0.000  0.00
Pt: 0.000 0.500 0.000  0.05
Pt: 0.000 0.000 0.500  0.05
Ir: 0.500 0.500 0.500  1.04
La: 0.000 0.000 0.000  -0.01

***

(5)
A relaxed structure of LiIrF6, computed with GGA-PBEsol.

## Properties
* E_form (uncorrected): -1.876 eV/atom

a = 5.064 Å, b = 5.064 Å, c = 5.380 Å
α = 61.92°, β = 61.92°, γ = 60.00°
Last column: magnetic moment on the atom in μB.
Atoms (fractional coordinates):
F: 0.116 0.759 0.757  0.11
F: 0.884 0.241 0.243  0.11
F: 0.368 0.116 0.757  0.11
F: 0.759 0.368 0.757  0.11
F: 0.241 0.632 0.243  0.11
F: 0.632 0.884 0.243  0.11
Ir: 0.000 0.000 0.000  1.22
Li: 0.500 0.500 0.500  0.00

***

(6)
A relaxed structure of Na2LiIrF6, computed with GGA-PBEsol.

## Properties
* E_form (uncorrected): -2.190 eV/atom

a = 5.564 Å, b = 5.564 Å, c = 5.564 Å
α = 60.00°, β = 60.00°, γ = 60.00°
Atoms (fractional coordinates):
F: 0.254 0.746 0.254
F: 0.746 0.254 0.746
F: 0.254 0.746 0.746
F: 0.746 0.254 0.254
F: 0.254 0.254 0.746
F: 0.746 0.746 0.254
Na: 0.250 0.250 0.250
Na: 0.750 0.750 0.750
Ir: 0.000 0.000 0.000
Li: 0.500 0.500 0.500

***

(7)
A relaxed structure of LiIrO2F, computed with GGA-PBEsol.

## Properties
* E_form (uncorrected): -1.062 eV/atom

a = 3.633 Å, b = 3.633 Å, c = 6.398 Å
α = 90.00°, β = 90.00°, γ = 90.00°
Atoms (fractional coordinates):
O: 0.500 0.000 0.000
O: 0.000 0.500 0.000
Li: 0.500 0.500 0.500
Ir: 0.000 0.000 0.000
F: 0.000 0.000 0.500

***

(8)
A relaxed structure of Rb2LiIrF6, computed with GGA-PBEsol.

## Properties
* E_form (uncorrected): -2.306 eV/atom

a = 5.811 Å, b = 5.811 Å, c = 5.811 Å
α = 60.00°, β = 60.00°, γ = 60.00°
Atoms (fractional coordinates):
F: 0.246 0.246 0.754
F: 0.246 0.754 0.246
F: 0.754 0.246 0.754
F: 0.754 0.754 0.246
F: 0.754 0.246 0.246
F: 0.246 0.754 0.754
Ir: 0.000 0.000 0.000
Rb: 0.750 0.750 0.750
Rb: 0.250 0.250 0.250
Li: 0.500 0.500 0.500

***

Q: Which of these has the highest E_form (uncorrected)?
A: LaIrN2F

***

Q: The highest E_form (uncorrected) belongs to which entry?
A: LaIrN2F

***

Q: Among the records above, which one has the highest E_form (uncorrected)?
A: LaIrN2F

***

Q: The lowest E_form (uncorrected) belongs to which entry?
A: Rb2LiIrF6